A geometry-optimized NiCl2O6 structure, computed with PBE with a Hubbard U.

Values from the calculation:
Magnetic moment   7.77 μB per formula unit
VASP energy   -3.371 eV/atom
Energy above the most stable polymorph in this dataset   714 meV/atom

Lattice parameters (Å, degrees): 6.034 7.437 8.500 90.00 109.30 90.00
Space group P2_1/c (No. 14)
One atom of each set of equivalent atoms:
1 Ni 0.000 0.000 0.000 x2
2 Cl 0.170 0.000 0.811 x4
3 O 0.178 0.201 0.066 x4
4 O 0.185 0.697 0.568 x4
5 O 0.461 0.501 0.924 x4